Arrangement i

A plane-wave DFT calculation with PBE-GGA was carried out for crystalline RbCuIN2 at its relaxed geometry.

Unit cell a=4.474 b=4.474 c=5.439 alpha=90.00 beta=90.00 gamma=90.00
Positions (direct):
Rb 0.000 0.000 0.000
Cu 0.500 0.500 0.500
I 0.500 0.500 0.000
N 0.000 0.500 0.500
N 0.500 0.000 0.500

Calculated values
Size of the total moment: 0.62 μB per cell
Space group: P4/mmm


Arrangement ii

A plane-wave DFT calculation with PBE-GGA was carried out for crystalline RbCuIN2 at its relaxed geometry.

Unit cell a=5.222 b=5.222 c=7.314 alpha=90.00 beta=90.00 gamma=90.00
Positions (direct):
Rb 0.000 0.000 0.000
Cu 0.500 0.500 0.500
I 0.000 0.000 0.500
N 0.000 0.500 0.000
N 0.500 0.000 0.000

Calculated values
Size of the total moment: 5.14 μB per cell
Space group: P4/mmm


Quick ranking, most stable first: arrangement i, arrangement ii.